This record from Alexandria describes a relaxed PmAl2Ga crystal. The functional is GGA-PBE.

Output
As for the space group: Amm2. The calculation puts the density at 4866 kg/m³. The calculation puts the energy above the most stable polymorph in this dataset at 311.9 meV per atom.

Cell lengths 3.3913, 5.2119, 5.2119 Å; angles 84.45, 90.00, 90.00 degrees
Fractional positions:
Pm1 0.0000 0.0000 0.0000
Al1 0.5000 0.5016 0.8691
Al2 0.5000 0.8691 0.5016
Ga1 0.5000 0.3749 0.3749